(1)
{"formula": "YCu2H8Rh", "functional": "PBE", "state": "relaxed", "total_energy_ev_per_atom": -4.251, "dos_at_fermi_per_ev_atom": 0.029, "crystal_system": "triclinic", "cell": [[4.428, 0.000, 0.000], [0.262, 4.501, 0.000], [0.310, 1.391, 5.180]], "species": ["Y", "Cu", "Cu", "H", "H", "H", "H", "H", "H", "H", "H", "Rh"], "frac_coords": [[0.000, 0.000, 0.000], [0.481, 0.546, 0.767], [0.519, 0.454, 0.233], [0.089, 0.580, 0.781], [0.213, 0.174, 0.566], [0.287, 0.721, 0.354], [0.485, 0.204, 0.057], [0.515, 0.796, 0.943], [0.713, 0.279, 0.646], [0.787, 0.826, 0.434], [0.911, 0.420, 0.219], [0.000, 0.500, 0.500]]}

---

(2)
{"formula": "Y2CuHRh6", "functional": "PBE", "state": "relaxed", "total_energy_ev_per_atom": -6.703, "dos_at_fermi_per_ev_atom": 1.525, "crystal_system": "cubic", "cell": [[0.000, 4.306, 4.306], [4.306, 0.000, 4.306], [4.306, 4.306, 0.000]], "species": ["Y", "Y", "Cu", "H", "Rh", "Rh", "Rh", "Rh", "Rh", "Rh"], "frac_coords": [[0.250, 0.250, 0.250], [0.750, 0.750, 0.750], [0.000, 0.000, 0.000], [0.500, 0.500, 0.500], [0.276, 0.276, 0.724], [0.276, 0.724, 0.276], [0.276, 0.724, 0.724], [0.724, 0.276, 0.276], [0.724, 0.276, 0.724], [0.724, 0.724, 0.276]]}

---

(3)
{"formula": "YCu2H8Rh3", "functional": "PBE", "state": "relaxed", "total_energy_ev_per_atom": -4.690, "dos_at_fermi_per_ev_atom": 0.169, "crystal_system": "trigonal", "cell": [[2.876, 1.661, 4.387], [-2.876, 1.661, 4.387], [0.000, -3.321, 4.387]], "species": ["Y", "Cu", "Cu", "H", "H", "H", "H", "H", "H", "H", "H", "Rh", "Rh", "Rh"], "frac_coords": [[0.000, 0.000, 0.000], [0.386, 0.386, 0.386], [0.753, 0.753, 0.753], [0.158, 0.158, 0.538], [0.158, 0.538, 0.158], [0.160, 0.634, 0.634], [0.164, 0.164, 0.164], [0.538, 0.158, 0.158], [0.621, 0.621, 0.621], [0.634, 0.160, 0.634], [0.634, 0.634, 0.160], [0.384, 0.384, 0.876], [0.384, 0.876, 0.384], [0.876, 0.384, 0.384]]}

---

(4)
{"formula": "YCuHRh2", "functional": "PBE", "state": "relaxed", "total_energy_ev_per_atom": -6.092, "dos_at_fermi_per_ev_atom": 0.874, "e_above_lowest_polymorph_ev_per_fu": 0.291, "crystal_system": "tetragonal", "cell": [[4.011, 0.000, 0.000], [0.000, 4.011, 0.000], [0.000, 0.000, 4.270]], "species": ["Y", "Cu", "H", "Rh", "Rh"], "frac_coords": [[0.000, 0.000, 0.000], [0.500, 0.500, 0.000], [0.000, 0.000, 0.500], [0.000, 0.500, 0.500], [0.500, 0.000, 0.500]]}